DFT (GGA-PBE) results for a relaxed structure of NpAlZn2.

Properties
Symmetry: Fm-3m, No. 225
ΔH_f (0 K) (eV/atom): 0.0464
Offset from the most stable computed form (eV per atom): 0.008
Volume (Å³/cell): 74.8

Cell lengths 4.729, 4.729, 4.729 Å; angles 60.00, 60.00, 60.00 degrees
Atoms (fractional coordinates):
Np 0.000 0.000 0.000
Al 0.500 0.500 0.500
Zn 0.250 0.250 0.250
Zn 0.750 0.750 0.750



DFT (GGA-PBE) results for a relaxed structure of MgHgGe.

Properties
Symmetry: P1, No. 1
ΔH_f (0 K) (eV/atom): 0.0353
Volume (Å³/cell): 137.7

Cell lengths 4.428, 5.597, 6.594 Å; angles 114.96, 109.55, 90.02 degrees
Atoms (fractional coordinates):
Mg 0.000 0.000 0.000
Mg 0.276 0.009 0.552
Hg 0.643 0.456 0.286
Hg 0.909 0.374 0.818
Ge 0.379 0.653 0.758
Ge 0.619 0.924 0.238



DFT (GGA-PBE) results for a relaxed structure of CaHgIr2.

Properties
Symmetry: Cmmm, No. 65
ΔH_f (0 K) (eV/atom): 0.4006
Volume (Å³/cell): 72.8

Cell lengths 2.912, 2.912, 9.398 Å; angles 90.00, 90.00, 113.97 degrees
Atoms (fractional coordinates):
Ca 0.000 0.000 0.000
Hg 0.000 0.000 0.500
Ir 0.500 0.500 0.248
Ir 0.500 0.500 0.752